Entry from the Alexandria database: a relaxed Sm4YTm crystal (PBE-GGA).

Results
excess energy over the best structure of this formula in the dataset: 0 meV per atom

The structure in CIF format:
```
data_Sm4YTm
_space_group_name_H-M_alt 'P 1'
_space_group_IT_number 1
_space_group_name_Hall 'P 1'
_cell_length_a 8.9662
_cell_length_b 8.9662
_cell_length_c 6.2785
_cell_angle_alpha 83.25
_cell_angle_beta 83.25
_cell_angle_gamma 23.27
loop_
_atom_site_label
_atom_site_type_symbol
_atom_site_fract_x
_atom_site_fract_y
_atom_site_fract_z
_atom_site_occupancy
Sm1 Sm 0.3347 0.3347 0.3875 1
Sm2 Sm 0.1646 0.1646 0.1115 1
Sm3 Sm 0.6653 0.6653 0.6125 1
Sm4 Sm 0.8354 0.8354 0.8885 1
Y1 Y 0.0000 0.0000 0.5000 1
Tm1 Tm 0.5000 0.5000 0.0000 1
```

***

Entry from the Alexandria database: a relaxed Tm6CdBi2 crystal (PBE-GGA).

Results
DFT total energy: -3.827 eV per atom

The structure in CIF format:
```
data_Tm6CdBi2
_space_group_name_H-M_alt 'P 1'
_space_group_IT_number 1
_space_group_name_Hall 'P 1'
_cell_length_a 6.8564
_cell_length_b 6.8564
_cell_length_c 13.8285
_cell_angle_alpha 90.00
_cell_angle_beta 90.00
_cell_angle_gamma 90.00
loop_
_atom_site_label
_atom_site_type_symbol
_atom_site_fract_x
_atom_site_fract_y
_atom_site_fract_z
_atom_site_occupancy
Cd1 Cd 0.5000 0.5000 0.5000 1
Cd2 Cd 0.0000 0.0000 0.0000 1
Tm1 Tm 0.2062 0.7938 0.5000 1
Tm2 Tm 0.8074 0.1926 0.1600 1
Tm3 Tm 0.1926 0.8074 0.8400 1
Tm4 Tm 0.7938 0.2062 0.5000 1
Tm5 Tm 0.8074 0.1926 0.8400 1
Tm6 Tm 0.3074 0.3074 0.3400 1
Tm7 Tm 0.7062 0.7062 0.0000 1
Tm8 Tm 0.1926 0.8074 0.1600 1
Tm9 Tm 0.6926 0.6926 0.6600 1
Tm10 Tm 0.6926 0.6926 0.3400 1
Tm11 Tm 0.3074 0.3074 0.6600 1
Tm12 Tm 0.2938 0.2938 0.0000 1
Bi1 Bi 0.0000 0.0000 0.3334 1
Bi2 Bi 0.5000 0.5000 0.8334 1
Bi3 Bi 0.0000 0.0000 0.6666 1
Bi4 Bi 0.5000 0.5000 0.1666 1
```